[1]
Sr6Ca3Ac after structural relaxation, computed with PBE.

The space group is P2_1/c (No. 14) and the conventional cell measures 6.460, 13.375 and 13.839 Å, with angles of 90.00, 117.72 and 90.00 degrees. Symmetry generates all atoms from Sr at (0.062, 0.186, 0.060), Sr at (0.249, 0.661, 0.252), Sr at (0.433, 0.197, 0.430), Ca at (0.269, 0.550, 0.764), Ca at (0.500, 0.000, 0.000) and Ac at (0.000, 0.000, 0.500).

Its polymorph energy (0 for the lowest one) is 0.151 eV per atom.

[2]
Tm12Al3In after structural relaxation, computed with PBE.

The space group is P4/mmm (No. 123) and the conventional cell measures 4.711, 4.711 and 18.889 Å, with angles of 90.00, 90.00 and 90.00 degrees. Symmetry generates all atoms from Tm at (0.000, 0.000, 0.000), Tm at (0.000, 0.000, 0.248), Tm at (0.000, 0.000, 0.500), Tm at (0.000, 0.500, 0.124), Tm at (0.000, 0.500, 0.370), Al at (0.500, 0.500, 0.000), Al at (0.500, 0.500, 0.248) and In at (0.500, 0.500, 0.500).

[3]
Y2ZrRu after structural relaxation, computed with PBE.

The space group is Fm-3m (No. 225) and the conventional cell measures 7.167, 7.167 and 7.167 Å, with angles of 90.00, 90.00 and 90.00 degrees. Symmetry generates all atoms from Y at (0.250, 0.250, 0.250), Zr at (0.000, 0.000, 0.000) and Ru at (0.000, 0.000, 0.500).

Its polymorph energy (0 for the lowest one) is 0.398 eV per atom.

[4]
NdGe3Pt2 after structural relaxation, computed with PBE.

The space group is C2/m (No. 12) and the conventional cell measures 15.682, 4.211 and 7.575 Å, with angles of 90.00, 109.01 and 90.00 degrees. Symmetry generates all atoms from Nd at (0.136, 0.000, 0.114), Ge at (0.029, 0.000, 0.668), Ge at (0.161, 0.500, 0.828), Ge at (0.164, 0.500, 0.444), Pt at (0.005, 0.500, 0.188) and Pt at (0.197, 0.000, 0.671).

[5]
KAs2 after structural relaxation, computed with PBE.

The space group is P-62m (No. 189) and the conventional cell measures 9.9942, 9.9942 and 3.7272 Å, with angles of 90.00, 90.00 and 120.00 degrees. Symmetry generates all atoms from K at (0.0000, 0.0000, 0.0000), K at (0.3333, 0.6667, 0.5000), As at (0.0000, 0.2874, 0.5000) and As at (0.0000, 0.4428, 0.0000).

[6]
ScTlCo2 after structural relaxation, computed with PBE.

The space group is Imm2 (No. 44) and the conventional cell measures 3.424, 4.299 and 8.830 Å, with angles of 90.00, 90.00 and 90.00 degrees. Symmetry generates all atoms from Sc at (0.000, 0.000, 0.000), Tl at (0.000, 0.500, 0.774), Co at (0.000, 0.000, 0.529) and Co at (0.000, 0.500, 0.230).

[7]
Ba2MgZn4Au3 after structural relaxation, computed with PBE.

The space group is P-4m2 (No. 115) and the conventional cell measures 4.503, 4.503 and 11.766 Å, with angles of 90.00, 90.00 and 90.00 degrees. Symmetry generates all atoms from Ba at (0.000, 0.500, 0.239), Mg at (0.000, 0.000, 0.500), Zn at (0.000, 0.000, 0.000), Zn at (0.000, 0.500, 0.639), Zn at (0.500, 0.500, 0.000), Au at (0.000, 0.500, 0.873) and Au at (0.500, 0.500, 0.500).

[8]
Ti4V2Mo after structural relaxation, computed with PBE.

The space group is R-3m (No. 166, hexagonal axes) and the conventional cell measures 4.3621, 4.3621 and 19.9686 Å, with angles of 90.00, 90.00 and 120.00 degrees. Symmetry generates all atoms from Ti at (0.0000, 0.0000, 0.0648), Ti at (0.0000, 0.0000, 0.2117), V at (0.0000, 0.0000, 0.3516) and Mo at (0.0000, 0.0000, 0.5000).

Its polymorph energy (0 for the lowest one) is 0.000 eV per atom.

[9]
Tb4PmNd2Sm2 after structural relaxation, computed with PBE.

The space group is C2/m (No. 12) and the conventional cell measures 18.912, 3.645 and 9.686 Å, with angles of 90.00, 115.71 and 90.00 degrees. Symmetry generates all atoms from Tb at (0.019, 0.000, 0.334), Tb at (0.185, 0.500, 0.336), Pm at (0.000, 0.500, 0.000), Nd at (0.166, 0.000, 0.001) and Sm at (0.147, 0.500, 0.664).

[10]
MgTa2Si after structural relaxation, computed with PBE.

The space group is I-42d (No. 122) and the conventional cell measures 7.289, 7.289 and 5.541 Å, with angles of 90.00, 90.00 and 90.00 degrees. Symmetry generates all atoms from Mg at (0.000, 0.000, 0.000), Ta at (0.221, 0.250, 0.625) and Si at (0.000, 0.000, 0.500).

The formation energy from raw total energies is 1.6 eV per formula unit.

[11]
Ti6InHg after structural relaxation, computed with PBE.

The space group is P-6m2 (No. 187) and the conventional cell measures 5.8662, 5.8662 and 4.8152 Å, with angles of 90.00, 90.00 and 120.00 degrees. Symmetry generates all atoms from Ti at (0.9995, 0.4998, 0.0000), Ti at (0.3395, 0.1697, 0.5000), In at (0.3333, 0.6667, 0.5000) and Hg at (0.0000, 0.0000, 0.0000).

[12]
MnZn2Cu2 after structural relaxation, computed with PBE.

The space group is C2/m (No. 12) and the conventional cell measures 8.574, 2.627 and 6.336 Å, with angles of 90.00, 106.72 and 90.00 degrees. Symmetry generates all atoms from Mn at (0.000, 0.000, 0.000), Zn at (0.185, 0.500, 0.796) and Cu at (0.120, 0.500, 0.378).

Its polymorph energy (0 for the lowest one) is 0.000 eV per atom.

Calculated calculated total energy in order - -1.836, -4.438, -7.530, -5.802, -3.701, -5.641, -2.464, -8.643, -4.693, -7.286, -6.366, -3.900 eV per atom